Na3LiMo3O8 | GGA+U | relaxed

a = 6.5498 Å, b = 6.5498 Å, c = 6.5498 Å
α = 57.57°, β = 57.57°, γ = 57.57°
Fractional positions:
Na 0.0000 0.5000 0.5000
Na 0.5000 0.0000 0.5000
Na 0.5000 0.5000 0.0000
Li 0.5000 0.5000 0.5000
Mo 0.0000 0.0000 0.5000
Mo 0.0000 0.5000 0.0000
Mo 0.5000 0.0000 0.0000
O 0.2130 0.7392 0.7392
O 0.2391 0.2391 0.2391
O 0.2608 0.2608 0.7870
O 0.2608 0.7870 0.2608
O 0.7392 0.2130 0.7392
O 0.7392 0.7392 0.2130
O 0.7609 0.7609 0.7609
O 0.7870 0.2608 0.2608

Values from the calculation:
As for the size of the total moment: 6.000 μB per formula unit. For the total energy, the calculation gives -6.21 eV per atom.